# In3As | Alexandria via LeMat-Bulk | SCAN | single point on PBEsol structure
# Theoretical density (Mg/m³): 7.41
# E_form (eV per atom): 0.1807
data_In3As
_space_group_name_H-M_alt 'P 1'
_space_group_IT_number 1
_space_group_name_Hall 'P 1'
_cell_length_a 3.2706
_cell_length_b 5.3611
_cell_length_c 5.3600
_cell_angle_alpha 90.00
_cell_angle_beta 90.00
_cell_angle_gamma 90.00
loop_
_atom_site_label
_atom_site_type_symbol
_atom_site_fract_x
_atom_site_fract_y
_atom_site_fract_z
_atom_site_occupancy
In1 In 0.5000 0.0000 0.4160 1
In2 In 0.5000 0.5000 0.9173 1
In3 In 0.0000 0.5000 0.4172 1
As1 As 0.0000 0.0000 0.9161 1